Arrangement i

CuPtRh after structural relaxation, computed with PBE-GGA.

Cell: 2.727 2.727 13.212 Å, 90.00 90.00 120.00°
Element x y z (fractional)
Cu: 0.000 0.000 0.000
Cu: 0.000 0.000 0.331
Pt: 0.667 0.333 0.166
Pt: 0.667 0.333 0.497
Rh: 0.000 0.000 0.673
Rh: 0.333 0.667 0.838

Properties
volume = 14.2 Å³ per atom
crystal system = trigonal
M_tot = 0.000 μB per atom

Arrangement ii

CuPtRh after structural relaxation, computed with PBE-GGA.

Cell: 2.734 2.734 6.560 Å, 90.00 90.00 120.00°
Element x y z (fractional)
Cu: 0.000 0.000 0.000
Pt: 0.667 0.333 0.329
Rh: 0.333 0.667 0.679

Properties
volume = 14.2 Å³ per atom
crystal system = trigonal
M_tot = 0.097 μB per atom

Arrangement iii

CuPtRh after structural relaxation, computed with PBE-GGA.

Cell: 4.693 4.693 4.693 Å, 146.13 131.91 60.12°
Element x y z (fractional)
Cu: 0.000 0.000 0.000
Pt: 0.666 0.666 0.000
Rh: 0.335 0.335 0.000

Properties
volume = 14.2 Å³ per atom
crystal system = orthorhombic
M_tot = 0.233 μB per atom

Arrangement iv

CuPtRh after structural relaxation, computed with PBE-GGA.

Cell: 4.297 4.297 2.695 Å, 90.00 90.00 120.00°
Element x y z (fractional)
Cu: 0.000 0.000 0.000
Pt: 0.333 0.667 0.235
Rh: 0.667 0.333 0.702

Properties
volume = 14.4 Å³ per atom
crystal system = trigonal
M_tot = 0.405 μB per atom

List of relative energies, unit eV/atom: arrangement i 0.000; arrangement ii 0.039; arrangement iii 0.046; arrangement iv 0.143

Arrangement i

CuPtRh after structural relaxation, computed with PBE-GGA.

Cell: 4.494 4.494 5.391 Å, 107.13 107.13 59.96°
Element x y z (fractional)
Cu: 0.000 0.000 0.000
Cu: 0.002 0.002 0.495
Pt: 0.316 0.316 0.906
Pt: 0.626 0.626 0.803
Rh: 0.314 0.314 0.400
Rh: 0.634 0.634 0.309

Properties
volume = 14.8 Å³ per atom
crystal system = monoclinic
M_tot = 0.000 μB per atom

Arrangement ii

CuPtRh after structural relaxation, computed with PBE-GGA.

Cell: 4.184 4.184 4.184 Å, 60.00 60.00 60.00°
Element x y z (fractional)
Cu: 0.000 0.000 0.000
Pt: 0.250 0.250 0.250
Rh: 0.500 0.500 0.500

Properties
volume = 17.3 Å³ per atom
crystal system = cubic
M_tot = 0.561 μB per atom

List of relative energies, unit eV/atom: arrangement i 0.000; arrangement ii 0.286

Arrangement i

CuPtRh after structural relaxation, computed with PBE-GGA.

Cell: 7.811 5.086 5.086 Å, 58.51 90.00 90.00°
Element x y z (fractional)
Cu: 0.000 0.241 0.759
Cu: 0.000 0.759 0.241
Cu: 0.242 0.574 0.574
Cu: 0.758 0.574 0.574
Pt: 0.179 0.250 0.250
Pt: 0.311 0.919 0.919
Pt: 0.689 0.919 0.919
Pt: 0.821 0.250 0.250
Rh: 0.000 0.755 0.755
Rh: 0.500 0.414 0.414
Rh: 0.500 0.416 0.921
Rh: 0.500 0.921 0.416

Properties
volume = 14.4 Å³ per atom
crystal system = orthorhombic
M_tot = 0.181 μB per atom

Arrangement ii

CuPtRh after structural relaxation, computed with PBE-GGA.

Cell: 5.941 5.941 5.941 Å, 153.32 153.32 38.09°
Element x y z (fractional)
Cu: 0.000 0.000 0.000
Pt: 0.665 0.665 0.000
Rh: 0.339 0.339 0.000

Properties
volume = 14.1 Å³ per atom
crystal system = tetragonal
M_tot = 0.000 μB per atom

Arrangement iii

CuPtRh after structural relaxation, computed with PBE-GGA.

Cell: 7.226 6.977 2.688 Å, 84.35 73.92 21.73°
Element x y z (fractional)
Cu: 0.000 0.000 0.000
Pt: 0.335 0.335 0.665
Rh: 0.659 0.659 0.341

Properties
volume = 14.4 Å³ per atom
crystal system = orthorhombic
M_tot = 0.000 μB per atom

List of relative energies, unit eV/atom: arrangement i 0.184; arrangement ii 0.000; arrangement iii 0.081

Arrangement i

CuPt3Rh after structural relaxation, computed with PBE-GGA.

Cell: 4.515 4.515 4.515 Å, 90.00 90.00 90.00°
Element x y z (fractional)
Cu: 0.000 0.000 0.000
Pt: 0.000 0.000 0.500
Pt: 0.000 0.500 0.000
Pt: 0.500 0.000 0.000
Rh: 0.500 0.500 0.500

Properties
volume = 18.4 Å³ per atom
crystal system = cubic
M_tot = 0.295 μB per atom

Arrangement ii

CuPt3Rh after structural relaxation, computed with PBE-GGA.

Cell: 4.812 4.812 4.812 Å, 90.00 90.00 90.00°
Element x y z (fractional)
Cu: 0.000 0.000 0.000
Pt: 0.000 0.500 0.500
Pt: 0.500 0.000 0.500
Pt: 0.500 0.500 0.000
Rh: 0.500 0.500 0.500

Properties
volume = 22.3 Å³ per atom
crystal system = cubic
M_tot = 0.392 μB per atom

List of relative energies, unit eV/atom: arrangement i 0.000; arrangement ii 0.292

Arrangement i

CuPt3Rh after structural relaxation, computed with PBE-GGA.

Cell: 4.743 4.569 7.233 Å, 90.00 109.12 90.00°
Element x y z (fractional)
Cu: 0.235 0.250 0.301
Cu: 0.765 0.750 0.699
Pt: 0.043 0.250 0.904
Pt: 0.168 0.750 0.507
Pt: 0.443 0.250 0.703
Pt: 0.557 0.750 0.297
Pt: 0.832 0.250 0.493
Pt: 0.957 0.750 0.096
Rh: 0.366 0.750 0.897
Rh: 0.634 0.250 0.103

Properties
volume = 14.8 Å³ per atom
crystal system = monoclinic
M_tot = 0.000 μB per atom

Arrangement ii

CuPt3Rh after structural relaxation, computed with PBE-GGA.

Cell: 6.546 6.994 6.883 Å, 90.00 90.00 90.00°
Element x y z (fractional)
Cu: 0.000 0.000 0.000
Cu: 0.000 0.500 0.000
Cu: 0.500 0.000 0.500
Cu: 0.500 0.500 0.500
Pt: 0.131 0.250 0.287
Pt: 0.136 0.052 0.650
Pt: 0.136 0.448 0.650
Pt: 0.364 0.552 0.150
Pt: 0.364 0.948 0.150
Pt: 0.369 0.750 0.787
Pt: 0.631 0.250 0.213
Pt: 0.636 0.052 0.850
Pt: 0.636 0.448 0.850
Pt: 0.864 0.552 0.350
Pt: 0.864 0.948 0.350
Pt: 0.869 0.750 0.713
Rh: 0.203 0.750 0.430
Rh: 0.297 0.250 0.930
Rh: 0.703 0.750 0.070
Rh: 0.797 0.250 0.570

Properties
volume = 15.8 Å³ per atom
crystal system = orthorhombic
M_tot = 0.000 μB per atom

List of relative energies, unit eV/atom: arrangement i 0.000; arrangement ii 0.165

Arrangement i

CuPt6Rh after structural relaxation, computed with PBE-GGA.

Cell: 3.930 3.930 7.837 Å, 90.00 90.00 90.00°
Element x y z (fractional)
Cu: 0.000 0.000 0.000
Pt: 0.000 0.500 0.246
Pt: 0.000 0.500 0.754
Pt: 0.500 0.000 0.246
Pt: 0.500 0.000 0.754
Pt: 0.500 0.500 0.000
Pt: 0.500 0.500 0.500
Rh: 0.000 0.000 0.500

Properties
volume = 15.1 Å³ per atom
crystal system = tetragonal
M_tot = 0.200 μB per atom

Arrangement ii

CuPt6Rh after structural relaxation, computed with PBE-GGA.

Cell: 4.823 4.823 7.797 Å, 114.11 114.11 48.23°
Element x y z (fractional)
Cu: 0.000 0.000 0.000
Pt: 0.249 0.249 0.372
Pt: 0.250 0.250 0.878
Pt: 0.499 0.499 0.753
Pt: 0.501 0.501 0.247
Pt: 0.750 0.750 0.122
Pt: 0.751 0.751 0.628
Rh: 0.000 0.000 0.500

Properties
volume = 15.1 Å³ per atom
crystal system = monoclinic
M_tot = 0.018 μB per atom

List of relative energies, unit eV/atom: arrangement i 0.000; arrangement ii 0.010

Arrangement i

Cu6Pt2Rh after structural relaxation, computed with PBE-GGA.

Cell: 4.935 4.935 4.944 Å, 94.36 94.36 94.57°
Element x y z (fractional)
Cu: 0.166 0.500 0.334
Cu: 0.166 0.834 0.000
Cu: 0.500 0.166 0.334
Cu: 0.500 0.834 0.666
Cu: 0.834 0.166 0.000
Cu: 0.834 0.500 0.666
Pt: 0.331 0.331 0.831
Pt: 0.669 0.669 0.169
Rh: 0.000 0.000 0.500

Properties
volume = 13.3 Å³ per atom
crystal system = monoclinic
M_tot = 0.000 μB per atom

Arrangement ii

Cu6Pt2Rh after structural relaxation, computed with PBE-GGA.

Cell: 4.591 4.591 6.638 Å, 103.37 103.37 65.04°
Element x y z (fractional)
Cu: 0.198 0.716 0.810
Cu: 0.254 0.254 0.001
Cu: 0.284 0.802 0.190
Cu: 0.716 0.198 0.810
Cu: 0.746 0.746 0.999
Cu: 0.802 0.284 0.190
Pt: 0.178 0.178 0.574
Pt: 0.822 0.822 0.426
Rh: 0.500 0.500 0.500

Properties
volume = 13.5 Å³ per atom
crystal system = monoclinic
M_tot = 0.000 μB per atom

List of relative energies, unit eV/atom: arrangement i 0.000; arrangement ii 0.062

Arrangement i

CuPtRh4 after structural relaxation, computed with PBE-GGA.

Cell: 5.077 5.077 5.077 Å, 60.00 60.00 60.00°
Element x y z (fractional)
Cu: 0.000 0.000 0.000
Pt: 0.750 0.750 0.750
Rh: 0.375 0.375 0.375
Rh: 0.375 0.375 0.875
Rh: 0.375 0.875 0.375
Rh: 0.875 0.375 0.375

Properties
volume = 15.4 Å³ per atom
crystal system = cubic
M_tot = 0.000 μB per atom

Arrangement ii

CuPtRh4 after structural relaxation, computed with PBE-GGA.

Cell: 2.737 2.737 11.360 Å, 90.00 90.00 90.00°
Element x y z (fractional)
Cu: 0.000 0.000 0.000
Pt: 0.500 0.500 0.500
Rh: 0.000 0.000 0.323
Rh: 0.000 0.000 0.677
Rh: 0.500 0.500 0.160
Rh: 0.500 0.500 0.840

Properties
volume = 14.2 Å³ per atom
crystal system = tetragonal
M_tot = 0.000 μB per atom

List of relative energies, unit eV/atom: arrangement i 0.418; arrangement ii 0.000